# HoTlZnTe3, optimized geometry, DFT PBE-GGA
# - Calculated total energy: -3.644 eV/atom
# - Calculated volume: 30.81 A^3/atom
# - Magnetic moment: 0.00 μB/cell
data_HoTlZnTe3
_chemical_formula_sum 'Ho4 Tl4 Zn4 Te12'
_space_group_name_H-M_alt 'P n m a'
_space_group_IT_number 62
_space_group_name_Hall '-P 2ac 2n'
_cell_length_a 9.147
_cell_length_b 4.610
_cell_length_c 17.536
_cell_angle_alpha 90.00
_cell_angle_beta 90.00
_cell_angle_gamma 90.00
loop_
_atom_site_label
_atom_site_fract_x
_atom_site_fract_y
_atom_site_fract_z
_atom_site_occupancy
Ho1 0.250 0.250 0.045 1
Tl1 0.071 0.250 0.789 1
Zn1 0.133 0.250 0.358 1
Te1 0.002 0.750 0.413 1
Te2 0.127 0.750 0.948 1
Te3 0.199 0.250 0.211 1

***

# HoTlZnTe3, optimized geometry, DFT PBE-GGA
# - Calculated total energy: -3.771 eV/atom
# - Calculated volume: 32.64 A^3/atom
# - Magnetic moment: 0.01 μB/cell
data_HoTlZnTe3
_chemical_formula_sum 'Ho4 Tl4 Zn4 Te12'
_space_group_name_H-M_alt 'P n m a'
_space_group_IT_number 62
_space_group_name_Hall '-P 2ac 2n'
_cell_length_a 11.555
_cell_length_b 4.343
_cell_length_c 15.609
_cell_angle_alpha 90.00
_cell_angle_beta 90.00
_cell_angle_gamma 90.00
loop_
_atom_site_label
_atom_site_fract_x
_atom_site_fract_y
_atom_site_fract_z
_atom_site_occupancy
Ho1 0.014 0.250 0.247 1
Tl1 0.230 0.750 0.507 1
Zn1 0.239 0.250 0.716 1
Te1 0.047 0.250 0.620 1
Te2 0.074 0.750 0.115 1
Te3 0.238 0.750 0.823 1

***

# HoTlZnTe3, optimized geometry, DFT PBE-GGA
# - Calculated total energy: -3.756 eV/atom
# - Calculated volume: 33.59 A^3/atom
# - Magnetic moment: 0.00 μB/cell
data_HoTlZnTe3
_chemical_formula_sum 'Ho4 Tl4 Zn4 Te12'
_space_group_name_H-M_alt 'P n m a'
_space_group_IT_number 62
_space_group_name_Hall '-P 2ac 2n'
_cell_length_a 15.841
_cell_length_b 4.354
_cell_length_c 11.689
_cell_angle_alpha 90.00
_cell_angle_beta 90.00
_cell_angle_gamma 90.00
loop_
_atom_site_label
_atom_site_fract_x
_atom_site_fract_y
_atom_site_fract_z
_atom_site_occupancy
Ho1 0.024 0.250 0.157 1
Tl1 0.239 0.250 0.461 1
Zn1 0.017 0.750 0.400 1
Te1 0.087 0.750 0.616 1
Te2 0.101 0.250 0.920 1
Te3 0.144 0.750 0.250 1

***

- What is the calculated total energy in the third record?
  -3.756 eV/atom